The following is a PBE with a Hubbard U calculation of an optimized crystal structure of SmMn2PO8, from Alexandria.

**Electronic total energy**: -6.917 eV per atom
**Magnetic moment**: 5.99 μB/f.u.
**Theoretical density**: 5.391 Mg/m³

Cell lengths 4.880, 4.880, 6.260 Å; angles 90.00, 90.00, 120.00 degrees
Fractional coordinates of all 12 atoms:
Sm  0.000  0.000  0.000
Mn  0.333  0.667  0.366
Mn  0.667  0.333  0.634
P  0.000  0.000  0.500
O  0.160  0.321  0.658
O  0.160  0.840  0.658
O  0.321  0.160  0.342
O  0.333  0.667  0.078
O  0.667  0.333  0.922
O  0.679  0.840  0.658
O  0.840  0.160  0.342
O  0.840  0.679  0.342